[1]
An optimized crystal structure of Sc2TeSe. Source: Alexandria, functional PBEsol.

## Properties
SG = Cm (8)
Magnetic moment = 1.13 μB per formula unit
Energy above the most stable polymorph in this dataset = 0.2472 eV/atom

a = 3.603 Å, b = 4.642 Å, c = 5.507 Å
α = 90.43°, β = 109.10°, γ = 90.00°
Fractional positions:
Sc 0.234 0.628 0.468
Sc 0.018 0.121 0.036
Te 0.742 0.128 0.484
Se 0.506 0.623 0.012



[2]
An optimized crystal structure of LiGa2AuCl. Source: Alexandria, functional PBEsol.

## Properties
SG = P4/mmm (123)
Magnetic moment = 0.00 μB per formula unit

a = 4.866 Å, b = 5.222 Å, c = 5.222 Å
α = 90.00°, β = 90.00°, γ = 90.00°
Fractional positions:
Ga 0.000 0.000 0.500
Ga 0.000 0.500 0.000
Li 0.500 0.500 0.500
Au 0.500 0.000 0.000
Cl 0.000 0.000 0.000



Number 1: ΔE_f (raw) -1189 meV/atom. Number 2: ΔE_f (raw) 399 meV/atom.